First-principles (PBE) data for a relaxed RbCd3W crystal, as listed in the Alexandria database.

Cell: 5.5335 5.5335 5.5335 Å, 90.00 90.00 90.00°
With the nearest neighbours (Å) after each atom.
Space group Pm-3m (No. 221)
Symmetry-distinct sites (fractional):
Rb (0.0000, 0.0000, 0.0000)  12 Cd 3.91
Cd (0.0000, 0.5000, 0.5000)  2 W 2.77
W (0.5000, 0.5000, 0.5000)  6 Cd 2.77

Results
The total energy is -2.5551 eV per atom. The value obtained for the formation energy is 0.7782 eV/atom. The value obtained for the relative energy among the computed polymorphs is 0 meV per atom. The calculated density comes out at 5.94 g/cm³. As for the size of the total moment: 2.9 μB/cell.